Here is MnNbFe3 after structural relaxation from Alexandria. Energies are from GGA-PBE.

Cell and atoms, written as POSCAR:
```
MnNbFe3
1.0
4.159 0.000 0.000
0.000 4.159 0.000
0.000 0.000 4.159
Mn Nb Fe
1 1 3
Direct
0.000 0.000 0.000
0.500 0.500 0.500
0.000 0.000 0.500
0.000 0.500 0.000
0.500 0.000 0.000
```

The calculation puts the relative energy among the computed polymorphs at 0.000 eV/atom. The calculation puts the total moment at 3.67 μB/cell. For the density of states at the Fermi level, the calculation gives 1.3950 states/eV per atom.